No. 1
Here is a relaxed CePm5Hg6 crystal from Alexandria via LeMat-Bulk. Energies are from GGA-PBE.

Calculated volume   333.8 Å³/cell

a = 5.382 Å, b = 9.336 Å, c = 9.336 Å
α = 119.64°, β = 106.78°, γ = 106.78°
Element x y z (fractional)
Hg (0.254, 0.087, 0.422)
Hg (0.746, 0.578, 0.913)
Hg (0.760, 0.260, 0.260)
Hg (0.240, 0.740, 0.740)
Hg (0.254, 0.422, 0.087)
Hg (0.746, 0.913, 0.578)
Ce (0.000, 0.000, 0.000)
Pm (0.500, 0.162, 0.838)
Pm (0.000, 0.330, 0.670)
Pm (0.500, 0.500, 0.500)
Pm (0.000, 0.670, 0.330)
Pm (0.500, 0.838, 0.162)

***

No. 2
Here is a relaxed Li2WAu crystal from Alexandria via LeMat-Bulk. Energies are from GGA-PBE.

Calculated volume   63.6 Å³/cell

a = 9.677 Å, b = 9.677 Å, c = 9.677 Å
α = 16.48°, β = 16.48°, γ = 16.48°
Element x y z (fractional)
Au (0.750, 0.750, 0.750)
Li (0.002, 0.002, 0.002)
Li (0.498, 0.498, 0.498)
W (0.250, 0.250, 0.250)

***

No. 3
Here is a relaxed In2AgMo crystal from Alexandria via LeMat-Bulk. Energies are from GGA-PBE.

Calculated volume   75.9 Å³/cell

a = 3.677 Å, b = 4.543 Å, c = 4.543 Å
α = 90.00°, β = 90.00°, γ = 90.00°
Element x y z (fractional)
Ag (0.500, 0.000, 0.500)
In (0.000, 0.000, 0.000)
In (0.000, 0.500, 0.500)
Mo (0.500, 0.500, 0.000)

***

No. 4
Here is a relaxed Pm3Cu8Au crystal from Alexandria via LeMat-Bulk. Energies are from GGA-PBE.

Calculated volume   203.0 Å³/cell

a = 5.211 Å, b = 5.211 Å, c = 9.141 Å
α = 73.44°, β = 73.44°, γ = 60.00°
Element x y z (fractional)
Pm (0.379, 0.379, 0.862)
Pm (0.991, 0.991, 0.027)
Pm (0.508, 0.508, 0.477)
Cu (0.945, 0.432, 0.190)
Cu (0.439, 0.939, 0.683)
Cu (0.432, 0.432, 0.190)
Cu (0.939, 0.939, 0.683)
Cu (0.188, 0.188, 0.435)
Cu (0.686, 0.686, 0.941)
Cu (0.432, 0.945, 0.190)
Cu (0.939, 0.439, 0.683)
Au (0.871, 0.871, 0.387)

***

No. 5
Here is a relaxed TiMoN2 crystal from Alexandria via LeMat-Bulk. Energies are from GGA-PBE.

Calculated volume   99.4 Å³/cell

a = 4.630 Å, b = 4.630 Å, c = 5.675 Å
α = 65.93°, β = 65.93°, γ = 90.00°
Element x y z (fractional)
Mo (0.000, 0.000, 0.000)
Mo (0.750, 0.250, 0.500)
N (0.621, 0.125, 0.250)
N (0.129, 0.625, 0.250)
N (0.375, 0.379, 0.750)
N (0.875, 0.871, 0.750)
Ti (0.500, 0.500, 0.000)
Ti (0.250, 0.750, 0.500)

***

No. 6
Here is a relaxed CeThCdSn crystal from Alexandria via LeMat-Bulk. Energies are from GGA-PBE.

Calculated volume   113.9 Å³/cell

a = 5.442 Å, b = 5.442 Å, c = 5.442 Å
α = 60.00°, β = 60.00°, γ = 60.00°
Element x y z (fractional)
Cd (0.750, 0.750, 0.750)
Ce (0.500, 0.500, 0.500)
Th (0.000, 0.000, 0.000)
Sn (0.250, 0.250, 0.250)

***

No. 7
Here is a relaxed SrNbPd3 crystal from Alexandria via LeMat-Bulk. Energies are from GGA-PBE.

Calculated volume   125.2 Å³/cell

a = 5.003 Å, b = 5.003 Å, c = 5.003 Å
α = 90.00°, β = 90.00°, γ = 90.00°
Element x y z (fractional)
Sr (0.000, 0.000, 0.000)
Nb (0.500, 0.500, 0.500)
Pd (0.000, 0.500, 0.000)
Pd (0.000, 0.000, 0.500)
Pd (0.500, 0.000, 0.000)

***

No. 8
Here is a relaxed Tb3Al9Ir2 crystal from Alexandria via LeMat-Bulk. Energies are from GGA-PBE.

Calculated volume   258.5 Å³/cell

a = 4.307 Å, b = 8.152 Å, c = 8.152 Å
α = 73.05°, β = 74.68°, γ = 74.68°
Element x y z (fractional)
Tb (0.000, 0.000, 0.000)
Tb (0.704, 0.296, 0.296)
Tb (0.296, 0.704, 0.704)
Al (0.000, 0.500, 0.500)
Al (0.651, 0.988, 0.711)
Al (0.349, 0.012, 0.289)
Al (0.651, 0.711, 0.988)
Al (0.349, 0.289, 0.012)
Al (0.871, 0.845, 0.413)
Al (0.129, 0.155, 0.587)
Al (0.871, 0.413, 0.845)
Al (0.129, 0.587, 0.155)
Ir (0.500, 0.321, 0.679)
Ir (0.500, 0.679, 0.321)

***

No. 9
Here is a relaxed MnFePt crystal from Alexandria via LeMat-Bulk. Energies are from GGA-PBE.

Calculated volume   84.4 Å³/cell

a = 3.346 Å, b = 4.043 Å, c = 6.461 Å
α = 90.00°, β = 105.01°, γ = 90.00°
Element x y z (fractional)
Mn (0.414, 0.250, 0.828)
Mn (0.586, 0.750, 0.172)
Fe (0.749, 0.250, 0.499)
Fe (0.251, 0.750, 0.501)
Pt (0.914, 0.750, 0.828)
Pt (0.086, 0.250, 0.172)

***

No. 10
Here is a relaxed K3Tm2SnS6 crystal from Alexandria via LeMat-Bulk. Energies are from GGA-PBE.

Calculated volume   308.6 Å³/cell

a = 6.968 Å, b = 6.968 Å, c = 7.698 Å
α = 98.67°, β = 98.67°, γ = 120.00°
Element x y z (fractional)
K (0.165, 0.835, 0.500)
K (0.835, 0.165, 0.500)
K (0.500, 0.500, 0.500)
Tm (0.333, 0.667, 0.000)
Tm (0.667, 0.333, 0.000)
Sn (0.000, 0.000, 0.000)
S (0.933, 0.596, 0.800)
S (0.729, 0.729, 0.199)
S (0.067, 0.404, 0.200)
S (0.596, 0.933, 0.800)
S (0.271, 0.271, 0.801)
S (0.404, 0.067, 0.200)

***

| no. | E (eV per atom) |
| --- | --- |
| 1 | -3.068 |
| 2 | -4.863 |
| 3 | -4.522 |
| 4 | -4.381 |
| 5 | -9.571 |
| 6 | -4.864 |
| 7 | -3.977 |
| 8 | -5.326 |
| 9 | -8.033 |
| 10 | -4.906 |